(1)
This record from the Alexandria database describes Cs3BaPa2O9 after structural relaxation. The functional is PBE.

```
data_Cs3BaPa2O9
_space_group_name_H-M_alt 'P -3 m 1'
_space_group_IT_number 164
_space_group_name_Hall '-P 3 2"'
_cell_length_a 6.5642
_cell_length_b 6.5642
_cell_length_c 8.1323
_cell_angle_alpha 90.00
_cell_angle_beta 90.00
_cell_angle_gamma 120.00
loop_
_atom_site_label
_atom_site_type_symbol
_atom_site_fract_x
_atom_site_fract_y
_atom_site_fract_z
_atom_site_occupancy
Cs1 Cs 0.0000 0.0000 0.0000 1
Cs2 Cs 0.3333 0.6667 0.6622 1
Ba1 Ba 0.0000 0.0000 0.5000 1
Pa1 Pa 0.3333 0.6667 0.1537 1
O1 O 0.0000 0.5000 0.0000 1
O2 O 0.1856 0.3713 0.3007 1
```

Properties
* calculated total energy: -6.982 eV/atom



(2)
This record from the Alexandria database describes AcPmSmY after structural relaxation. The functional is PBE.

```
data_AcPmSmY
_space_group_name_H-M_alt 'F -4 3 m'
_space_group_IT_number 216
_space_group_name_Hall 'F -4 2 3'
_cell_length_a 8.3468
_cell_length_b 8.3468
_cell_length_c 8.3468
_cell_angle_alpha 90.00
_cell_angle_beta 90.00
_cell_angle_gamma 90.00
loop_
_atom_site_label
_atom_site_type_symbol
_atom_site_fract_x
_atom_site_fract_y
_atom_site_fract_z
_atom_site_occupancy
Ac1 Ac 0.0000 0.0000 0.0000 1
Pm1 Pm 0.0000 0.0000 0.5000 1
Sm1 Sm 0.2500 0.2500 0.2500 1
Y1 Y 0.2500 0.2500 0.7500 1
```

Properties
* E_form: 0.122 eV per atom



(3)
This record from the Alexandria database describes SrZn2GaPd2 after structural relaxation. The functional is PBE.

```
data_SrZn2GaPd2
_space_group_name_H-M_alt 'P 4/m m m'
_space_group_IT_number 123
_space_group_name_Hall '-P 4 2'
_cell_length_a 4.6590
_cell_length_b 4.6590
_cell_length_c 5.8758
_cell_angle_alpha 90.00
_cell_angle_beta 90.00
_cell_angle_gamma 90.00
loop_
_atom_site_label
_atom_site_type_symbol
_atom_site_fract_x
_atom_site_fract_y
_atom_site_fract_z
_atom_site_occupancy
Sr1 Sr 0.0000 0.0000 0.0000 1
Zn1 Zn 0.0000 0.5000 0.5000 1
Ga1 Ga 0.0000 0.0000 0.5000 1
Pd1 Pd 0.5000 0.5000 0.2540 1
```

Properties
* E_form: -0.120 eV per atom



(4)
This record from the Alexandria database describes RbInCl3 after structural relaxation. The functional is PBE.

```
data_RbInCl3
_space_group_name_H-M_alt 'R 3 m'
_space_group_IT_number 160
_space_group_name_Hall 'R 3 -2"'
_cell_length_a 8.7593
_cell_length_b 8.7593
_cell_length_c 12.7788
_cell_angle_alpha 90.00
_cell_angle_beta 90.00
_cell_angle_gamma 120.00
loop_
_atom_site_label
_atom_site_type_symbol
_atom_site_fract_x
_atom_site_fract_y
_atom_site_fract_z
_atom_site_occupancy
Rb1 Rb 0.0000 0.0000 0.0000 1
In1 In 0.0000 0.0000 0.6941 1
Cl1 Cl 0.0460 0.5230 0.4561 1
```

Properties
* calculated total energy: -3.065 eV/atom



(5)
This record from the Alexandria database describes YP2Br after structural relaxation. The functional is PBE.

```
data_YP2Br
_space_group_name_H-M_alt 'P 4/m m m'
_space_group_IT_number 123
_space_group_name_Hall '-P 4 2'
_cell_length_a 3.8835
_cell_length_b 3.8835
_cell_length_c 5.4551
_cell_angle_alpha 90.00
_cell_angle_beta 90.00
_cell_angle_gamma 90.00
loop_
_atom_site_label
_atom_site_type_symbol
_atom_site_fract_x
_atom_site_fract_y
_atom_site_fract_z
_atom_site_occupancy
Y1 Y 0.0000 0.0000 0.0000 1
P1 P 0.0000 0.5000 0.5000 1
Br1 Br 0.5000 0.5000 0.0000 1
```

Properties
* calculated total energy: -5.145 eV/atom



(6)
This record from the Alexandria database describes Ce5Ir after structural relaxation. The functional is PBE.

```
data_Ce5Ir
_space_group_name_H-M_alt 'C m m m'
_space_group_IT_number 65
_space_group_name_Hall '-C 2 2'
_cell_length_a 4.1764
_cell_length_b 16.0628
_cell_length_c 4.1662
_cell_angle_alpha 90.00
_cell_angle_beta 90.00
_cell_angle_gamma 90.00
loop_
_atom_site_label
_atom_site_type_symbol
_atom_site_fract_x
_atom_site_fract_y
_atom_site_fract_z
_atom_site_occupancy
Ce1 Ce 0.0000 0.0000 0.0000 1
Ce2 Ce 0.0000 0.1695 0.5000 1
Ce3 Ce 0.0000 0.3352 0.0000 1
Ir1 Ir 0.0000 0.5000 0.5000 1
```

Properties
* E_form: -0.151 eV per atom



Repeat the fifth record exactly.
This record from the Alexandria database describes YP2Br after structural relaxation. The functional is PBE.

```
data_YP2Br
_space_group_name_H-M_alt 'P 4/m m m'
_space_group_IT_number 123
_space_group_name_Hall '-P 4 2'
_cell_length_a 3.8835
_cell_length_b 3.8835
_cell_length_c 5.4551
_cell_angle_alpha 90.00
_cell_angle_beta 90.00
_cell_angle_gamma 90.00
loop_
_atom_site_label
_atom_site_type_symbol
_atom_site_fract_x
_atom_site_fract_y
_atom_site_fract_z
_atom_site_occupancy
Y1 Y 0.0000 0.0000 0.0000 1
P1 P 0.0000 0.5000 0.5000 1
Br1 Br 0.5000 0.5000 0.0000 1
```

Properties
* calculated total energy: -5.145 eV/atom



What did the fourth record say?
This record from the Alexandria database describes RbInCl3 after structural relaxation. The functional is PBE.

```
data_RbInCl3
_space_group_name_H-M_alt 'R 3 m'
_space_group_IT_number 160
_space_group_name_Hall 'R 3 -2"'
_cell_length_a 8.7593
_cell_length_b 8.7593
_cell_length_c 12.7788
_cell_angle_alpha 90.00
_cell_angle_beta 90.00
_cell_angle_gamma 120.00
loop_
_atom_site_label
_atom_site_type_symbol
_atom_site_fract_x
_atom_site_fract_y
_atom_site_fract_z
_atom_site_occupancy
Rb1 Rb 0.0000 0.0000 0.0000 1
In1 In 0.0000 0.0000 0.6941 1
Cl1 Cl 0.0460 0.5230 0.4561 1
```

Properties
* calculated total energy: -3.065 eV/atom



Question: Number 4 is which compound?
Answer: RbInCl3